(1)
A PBEsol-optimized structure of PrCo2B2C. Source: Alexandria via LeMat-Bulk, functional meta-GGA SCAN.

Total DFT energy (no corrections)   -17.451 eV per atom

abc: 3.637 3.637 10.007
angles: 90.00 90.00 90.00
Space group I4/mmm (No. 139)
Unique sites:
Pr1 0.000 0.000 0.000 x2
Co1 0.000 0.500 0.250 x4
B1 0.000 0.000 0.349 x4
C1 0.000 0.000 0.500 x2

***

(2)
A PBEsol-optimized structure of TbCo2B2C. Source: Alexandria via LeMat-Bulk, functional meta-GGA SCAN.

Total DFT energy (no corrections)   -18.140 eV per atom

abc: 3.507 3.507 10.197
angles: 90.00 90.00 90.00
Space group I4/mmm (No. 139)
Unique sites:
Tb1 0.000 0.000 0.000 x2
Co1 0.000 0.500 0.250 x4
B1 0.000 0.000 0.352 x4
C1 0.000 0.000 0.500 x2

***

(3)
A PBEsol-optimized structure of TmCo2B2C. Source: Alexandria via LeMat-Bulk, functional meta-GGA SCAN.

Total DFT energy (no corrections)   -19.013 eV per atom

abc: 3.451 3.451 10.298
angles: 90.00 90.00 90.00
Space group I4/mmm (No. 139)
Unique sites:
Tm1 0.000 0.000 0.000 x2
Co1 0.000 0.500 0.250 x4
B1 0.000 0.000 0.354 x4
C1 0.000 0.000 0.500 x2

***

(4)
A PBEsol-optimized structure of YCo2B2C. Source: Alexandria via LeMat-Bulk, functional meta-GGA SCAN.

Total DFT energy (no corrections)   -15.002 eV per atom

abc: 3.491 3.491 10.255
angles: 90.00 90.00 90.00
Space group I4/mmm (No. 139)
Unique sites:
Y1 0.000 0.000 0.000 x2
Co1 0.000 0.500 0.250 x4
B1 0.000 0.000 0.353 x4
C1 0.000 0.000 0.500 x2

***

(5)
A PBEsol-optimized structure of Cr46B3C9. Source: Alexandria via LeMat-Bulk, functional meta-GGA SCAN.

Total DFT energy (no corrections)   -16.605 eV per atom

abc: 7.390 7.400 12.796
angles: 73.52 73.37 60.14
Space group P1 (No. 1)
Unique sites:
Cr1 0.000 0.000 0.000 x1
Cr2 0.000 0.663 0.339 x1
Cr3 0.008 0.660 0.998 x1
Cr4 0.022 0.020 0.600 x1
Cr5 0.141 0.142 0.240 x1
Cr6 0.160 0.508 0.497 x1
Cr7 0.161 0.161 0.840 x1
Cr8 0.164 0.499 0.838 x1
Cr9 0.164 0.831 0.169 x1
Cr10 0.169 0.494 0.169 x1
Cr11 0.208 0.207 0.044 x1
Cr12 0.261 0.781 0.360 x1
Cr13 0.263 0.264 0.359 x1
Cr14 0.285 0.760 0.860 x1
Cr15 0.324 0.324 0.663 x1
Cr16 0.332 0.667 0.670 x1
Cr17 0.335 0.982 0.672 x1
Cr18 0.384 0.898 0.481 x1
Cr19 0.400 0.882 0.978 x1
Cr20 0.404 0.405 0.978 x1
Cr21 0.460 0.456 0.295 x1
Cr22 0.478 0.831 0.169 x1
Cr23 0.487 0.180 0.167 x1
Cr24 0.500 0.164 0.837 x1
Cr25 0.503 0.500 0.499 x1
Cr26 0.511 0.158 0.497 x1
Cr27 0.521 0.521 0.098 x1
Cr28 0.641 0.641 0.742 x1
Cr29 0.658 0.010 0.996 x1
Cr30 0.664 0.653 0.342 x1
Cr31 0.667 0.002 0.341 x1
Cr32 0.668 0.331 0.670 x1
Cr33 0.673 0.990 0.669 x1
Cr34 0.709 0.706 0.545 x1
Cr35 0.760 0.285 0.860 x1
Cr36 0.762 0.761 0.858 x1
Cr37 0.789 0.257 0.361 x1
Cr38 0.804 0.832 0.169 x1
Cr39 0.831 0.169 0.170 x1
Cr40 0.834 0.483 0.172 x1
Cr41 0.882 0.400 0.979 x1
Cr42 0.903 0.380 0.480 x1
Cr43 0.907 0.903 0.479 x1
Cr44 0.957 0.957 0.795 x1
Cr45 0.984 0.333 0.672 x1
Cr46 0.991 0.671 0.669 x1
B1 0.198 0.195 0.535 x1
B2 0.426 0.967 0.306 x1
B3 0.697 0.696 0.033 x1
C1 0.196 0.747 0.532 x1
C2 0.249 0.693 0.031 x1
C3 0.471 0.470 0.808 x1
C4 0.471 0.916 0.809 x1
C5 0.695 0.248 0.030 x1
C6 0.750 0.192 0.532 x1
C7 0.917 0.471 0.809 x1
C8 0.974 0.414 0.309 x1
C9 0.974 0.970 0.308 x1

***

(6)
A PBEsol-optimized structure of CrBC2. Source: Alexandria via LeMat-Bulk, functional meta-GGA SCAN.

Total DFT energy (no corrections)   -10.952 eV per atom

abc: 4.197 4.197 7.719
angles: 90.00 90.00 90.00
Space group I-42d (No. 122)
Unique sites:
Cr1 0.000 0.000 0.000 x4
B1 0.000 0.000 0.500 x4
C1 0.208 0.250 0.625 x8

***

(7)
A PBEsol-optimized structure of Cr6BC3. Source: Alexandria via LeMat-Bulk, functional meta-GGA SCAN.

Total DFT energy (no corrections)   -14.941 eV per atom

abc: 6.871 2.815 9.108
angles: 90.00 90.00 90.00
Space group Amm2 (No. 38)
Unique sites:
Cr1 0.000 0.000 0.000 x2
Cr2 0.183 0.000 0.279 x4
Cr3 0.315 0.000 0.562 x4
Cr4 0.500 0.000 0.814 x2
B1 0.000 0.000 0.661 x2
C1 0.257 0.000 0.919 x4
C2 0.500 0.000 0.169 x2

***

(8)
A PBEsol-optimized structure of Cr3BC. Source: Alexandria via LeMat-Bulk, functional meta-GGA SCAN.

Total DFT energy (no corrections)   -14.033 eV per atom

abc: 3.687 3.687 3.687
angles: 90.00 90.00 90.00
Space group Pm-3m (No. 221)
Unique sites:
Cr1 0.000 0.000 0.500 x3
B1 0.500 0.500 0.500 x1
C1 0.000 0.000 0.000 x1

***

(9)
A PBEsol-optimized structure of YCrB2C. Source: Alexandria via LeMat-Bulk, functional meta-GGA SCAN.

Total DFT energy (no corrections)   -12.914 eV per atom

abc: 3.646 3.646 4.422
angles: 90.00 90.00 90.00
Space group P4/mmm (No. 123)
Unique sites:
Y1 0.000 0.000 0.000 x1
Cr1 0.500 0.500 0.000 x1
B1 0.000 0.500 0.500 x2
C1 0.000 0.000 0.500 x1

***

(10)
A PBEsol-optimized structure of CsZr2BC. Source: Alexandria via LeMat-Bulk, functional meta-GGA SCAN.

Total DFT energy (no corrections)   -22.118 eV per atom

abc: 5.058 5.058 3.103
angles: 90.00 90.00 90.00
Space group P4/mmm (No. 123)
Unique sites:
Cs1 0.000 0.000 0.000 x1
Zr1 0.000 0.500 0.500 x2
B1 0.500 0.500 0.500 x1
C1 0.500 0.500 0.000 x1

***

(11)
A PBEsol-optimized structure of Cu3BC. Source: Alexandria via LeMat-Bulk, functional meta-GGA SCAN.

Total DFT energy (no corrections)   -11.589 eV per atom

abc: 3.779 3.779 3.779
angles: 90.00 90.00 90.00
Space group Pm-3m (No. 221)
Unique sites:
Cu1 0.000 0.000 0.500 x3
B1 0.500 0.500 0.500 x1
C1 0.000 0.000 0.000 x1

***

(12)
A PBEsol-optimized structure of Sc2CuBC. Source: Alexandria via LeMat-Bulk, functional meta-GGA SCAN.

Total DFT energy (no corrections)   -12.560 eV per atom

abc: 4.622 4.622 3.010
angles: 90.00 90.00 90.00
Space group P4/mmm (No. 123)
Unique sites:
Sc1 0.000 0.500 0.000 x2
Cu1 0.000 0.000 0.500 x1
B1 0.500 0.500 0.500 x1
C1 0.500 0.500 0.000 x1

***

Number 1: DOS at the Fermi energy 0.711 states/eV per atom. Number 2: DOS at the Fermi energy 0.698 states/eV per atom. Number 3: DOS at the Fermi energy 0.656 states/eV per atom. Number 4: DOS at the Fermi energy 0.679 states/eV per atom. Number 5: DOS at the Fermi energy 0.741 states/eV per atom. Number 6: DOS at the Fermi energy 0.324 states/eV per atom. Number 7: DOS at the Fermi energy 0.609 states/eV per atom. Number 8: DOS at the Fermi energy 0.822 states/eV per atom. Number 9: DOS at the Fermi energy 0.415 states/eV per atom. Number 10: DOS at the Fermi energy 0.578 states/eV per atom. Number 11: DOS at the Fermi energy 0.439 states/eV per atom. Number 12: DOS at the Fermi energy 0.429 states/eV per atom.